Crystalline Zn2SnWO6 at its relaxed geometry. Source: Alexandria, functional PBE with a Hubbard U.

## Properties
calculated volume	14.06	Å³ per atom
energy above the most stable polymorph in this dataset	0	meV per atom
raw total energy	-59.5	eV per formula unit

Cell: 5.2474 5.3590 5.3883 Å, 107.98 98.30 96.38°
Last column: nearest neighbours and their distance in Å.
Positions (direct):
Zn: 0.0000 0.0000 0.0000  4 O 1.98-2.10
Zn: 0.3668 0.9820 0.5946  4 O 1.98-2.18
Sn: 0.5086 0.6125 0.1601  3 O 2.09-2.13
W: 0.9491 0.3811 0.6480  5 O 1.84-2.04
O: 0.1162 0.1432 0.3916  1 W 1.95, 2 Zn 1.98-2.02
O: 0.1883 0.7064 0.7214  1 W 1.93, 1 Zn 2.01
O: 0.2396 0.2851 0.9042  1 Sn 2.09, 2 Zn 2.10-2.18, 1 W 2.12
O: 0.7062 0.3878 0.3682  1 W 1.84
O: 0.7447 0.1052 0.7337  1 W 1.94, 2 Zn 1.98-2.07
O: 0.8053 0.6306 0.9440  1 Zn 2.04, 1 W 2.04, 1 Sn 2.09